[1]
! RbHfBeAu (PBE, optimized geometry); values from VASP
&SYSTEM
  ibrav = 0, nat = 4, ntyp = 4
/
ATOMIC_SPECIES
Hf 178.49 Hf.upf
Rb 85.47 Rb.upf
Au 196.97 Au.upf
Be 9.01 Be.upf
CELL_PARAMETERS angstrom
0.000 3.569 3.569
3.569 0.000 3.569
3.569 3.569 0.000
ATOMIC_POSITIONS crystal
Hf 0.000 0.000 0.000
Rb 0.500 0.500 0.500
Au 0.750 0.750 0.750
Be 0.250 0.250 0.250
! * SG: F-43m, No. 216
! * uncorrected energy: -3.62 eV per atom

[2]
! RbHfBeAu (PBE, optimized geometry); values from VASP
&SYSTEM
  ibrav = 0, nat = 4, ntyp = 4
/
ATOMIC_SPECIES
Be 9.01 Be.upf
Hf 178.49 Hf.upf
Rb 85.47 Rb.upf
Au 196.97 Au.upf
CELL_PARAMETERS angstrom
0.000 3.448 3.448
3.448 0.000 3.448
3.448 3.448 0.000
ATOMIC_POSITIONS crystal
Be 0.000 0.000 0.000
Hf 0.250 0.250 0.250
Rb 0.500 0.500 0.500
Au 0.750 0.750 0.750
! * SG: F-43m, No. 216
! * uncorrected energy: -3.43 eV per atom

[3]
! BeHg2Au (PBE, optimized geometry); values from VASP
&SYSTEM
  ibrav = 0, nat = 4, ntyp = 3
/
ATOMIC_SPECIES
Hg 200.59 Hg.upf
Be 9.01 Be.upf
Au 196.97 Au.upf
CELL_PARAMETERS angstrom
-0.225 -4.680 -0.553
-3.941 -2.324 1.149
-2.720 -1.848 -3.383
ATOMIC_POSITIONS crystal
Hg 0.750 0.750 0.750
Hg 0.000 0.000 0.000
Be 0.500 0.500 0.500
Au 0.250 0.250 0.250
! * SG: F-43m, No. 216
! * uncorrected energy: -1.47 eV per atom

[4]
! Be2HgAu (PBE, optimized geometry); values from VASP
&SYSTEM
  ibrav = 0, nat = 4, ntyp = 3
/
ATOMIC_SPECIES
Be 9.01 Be.upf
Au 196.97 Au.upf
Hg 200.59 Hg.upf
CELL_PARAMETERS angstrom
0.000 3.116 3.116
3.116 0.000 3.116
3.116 3.116 0.000
ATOMIC_POSITIONS crystal
Be 0.250 0.250 0.250
Be 0.000 0.000 0.000
Au 0.750 0.750 0.750
Hg 0.500 0.500 0.500
! * SG: F-43m, No. 216
! * uncorrected energy: -2.28 eV per atom

[5]
! Be3HgAu4 (PBE, optimized geometry); values from VASP
&SYSTEM
  ibrav = 0, nat = 8, ntyp = 3
/
ATOMIC_SPECIES
Au 196.97 Au.upf
Hg 200.59 Hg.upf
Be 9.01 Be.upf
CELL_PARAMETERS angstrom
6.629 -0.360 -0.215
2.106 -2.619 5.729
-4.611 -2.085 -4.302
ATOMIC_POSITIONS crystal
Au 0.150 0.150 0.604
Au 0.850 0.453 0.000
Au 0.547 0.547 0.396
Au 0.453 0.850 0.000
Hg 0.000 0.000 0.000
Be 0.250 0.750 0.500
Be 0.750 0.250 0.500
Be 0.500 0.500 0.000
! * SG: I-42m, No. 121
! * uncorrected energy: -2.77 eV per atom

[6]
! LaBeHgAu (PBE, optimized geometry); values from VASP
&SYSTEM
  ibrav = 0, nat = 4, ntyp = 4
/
ATOMIC_SPECIES
Au 196.97 Au.upf
La 138.91 La.upf
Be 9.01 Be.upf
Hg 200.59 Hg.upf
CELL_PARAMETERS angstrom
-4.631 -0.977 -1.486
-3.693 3.088 1.198
-2.125 2.801 -3.499
ATOMIC_POSITIONS crystal
Au 0.750 0.750 0.750
La 0.500 0.500 0.500
Be 0.250 0.250 0.250
Hg 0.000 0.000 0.000
! * SG: F-43m, No. 216
! * uncorrected energy: -3.22 eV per atom